Density functional theory data (GGA-PBE) for RbSi2Rh2 after structural relaxation.

Lattice parameters (Å, degrees): 4.1426 4.1426 13.1225 90.00 90.00 90.00
Fractional positions:
Rb 0.0000 0.0000 0.0000
Rb 0.5000 0.5000 0.5000
Si 0.0000 0.0000 0.3356
Si 0.0000 0.0000 0.6644
Si 0.5000 0.5000 0.1644
Si 0.5000 0.5000 0.8356
Rh 0.0000 0.5000 0.2500
Rh 0.0000 0.5000 0.7500
Rh 0.5000 0.0000 0.2500
Rh 0.5000 0.0000 0.7500

Computed properties:
The energy relative to the lowest polymorph listed for this composition is 0.0 kJ/mol of atoms. The calculation puts the formation energy from raw total energies at -2.58 eV per formula unit. For the theoretical density, the calculation gives 5.124 g/cm3.

***

Density functional theory data (GGA-PBE) for RbSiRh2 after structural relaxation.

Lattice parameters (Å, degrees): 5.1920 5.1920 15.2131 90.00 90.00 90.00
Fractional positions:
Rb 0.0000 0.0000 0.0000
Rb 0.0000 0.5000 0.2500
Rb 0.5000 0.0000 0.7500
Rb 0.5000 0.5000 0.5000
Si 0.0000 0.0000 0.5000
Si 0.0000 0.5000 0.7500
Si 0.5000 0.0000 0.2500
Si 0.5000 0.5000 0.0000
Rh 0.0649 0.2500 0.6250
Rh 0.2500 0.5649 0.8750
Rh 0.2500 0.9351 0.3750
Rh 0.4351 0.2500 0.1250
Rh 0.5649 0.7500 0.1250
Rh 0.7500 0.0649 0.3750
Rh 0.7500 0.4351 0.8750
Rh 0.9351 0.7500 0.6250

Computed properties:
The calculation puts the formation energy from raw total energies at 1.07 eV per formula unit. For the theoretical density, the calculation gives 5.173 g/cm3.

***

Density functional theory data (GGA-PBE) for RbSi2Rh2 after structural relaxation.

Lattice parameters (Å, degrees): 7.8458 7.8458 2.8359 90.00 90.00 90.00
Fractional positions:
Rb 0.0000 0.0000 0.0000
Rb 0.5000 0.5000 0.0000
Si 0.1321 0.3679 0.5000
Si 0.3679 0.8679 0.5000
Si 0.6321 0.1321 0.5000
Si 0.8679 0.6321 0.5000
Rh 0.1329 0.6329 0.0000
Rh 0.3671 0.1329 0.0000
Rh 0.6329 0.8671 0.0000
Rh 0.8671 0.3671 0.0000

Computed properties:
The energy relative to the lowest polymorph listed for this composition is 38.3 kJ/mol of atoms. The calculation puts the formation energy from raw total energies at -0.59 eV per formula unit. For the theoretical density, the calculation gives 6.610 g/cm3.

***

Density functional theory data (GGA-PBE) for RbSi2Rh2 after structural relaxation.

Lattice parameters (Å, degrees): 3.8899 3.8899 14.5987 90.00 90.00 90.00
Fractional positions:
Rb 0.0000 0.0000 0.0000
Rb 0.5000 0.5000 0.5000
Si 0.0000 0.5000 0.2500
Si 0.0000 0.5000 0.7500
Si 0.5000 0.0000 0.2500
Si 0.5000 0.0000 0.7500
Rh 0.0000 0.0000 0.3417
Rh 0.0000 0.0000 0.6583
Rh 0.5000 0.5000 0.1583
Rh 0.5000 0.5000 0.8417

Computed properties:
The energy relative to the lowest polymorph listed for this composition is 20.9 kJ/mol of atoms. The calculation puts the formation energy from raw total energies at -1.49 eV per formula unit. For the theoretical density, the calculation gives 5.224 g/cm3.

***

Density functional theory data (GGA-PBE) for RbSi3Rh after structural relaxation.

Lattice parameters (Å, degrees): 4.8208 4.8208 4.8208 90.00 90.00 90.00
Fractional positions:
Rb 0.0000 0.0000 0.0000
Si 0.0000 0.5000 0.5000
Si 0.5000 0.0000 0.5000
Si 0.5000 0.5000 0.0000
Rh 0.5000 0.5000 0.5000

Computed properties:
The calculation puts the formation energy from raw total energies at 2.15 eV per formula unit. For the theoretical density, the calculation gives 4.041 g/cm3.

***

Density functional theory data (GGA-PBE) for RbZn2SiRh after structural relaxation.

Lattice parameters (Å, degrees): 5.0194 5.0194 4.5661 90.00 90.00 90.00
Fractional positions:
Rb 0.0000 0.0000 0.0000
Zn 0.0000 0.5000 0.5000
Zn 0.5000 0.0000 0.5000
Si 0.5000 0.5000 0.0000
Rh 0.5000 0.5000 0.5000

Computed properties:
The calculation puts the formation energy from raw total energies at -0.75 eV per formula unit. For the theoretical density, the calculation gives 5.013 g/cm3.

***

Density functional theory data (GGA-PBE) for RbZnSi2Rh after structural relaxation.

Lattice parameters (Å, degrees): 4.7126 4.7126 4.9969 90.00 90.00 90.00
Fractional positions:
Rb 0.0000 0.0000 0.0000
Zn 0.5000 0.5000 0.0000
Si 0.0000 0.5000 0.5000
Si 0.5000 0.0000 0.5000
Rh 0.5000 0.5000 0.5000

Computed properties:
The calculation puts the formation energy from raw total energies at 0.46 eV per formula unit. For the theoretical density, the calculation gives 4.638 g/cm3.

***

Density functional theory data (GGA-PBE) for RbSn2Rh after structural relaxation.

Lattice parameters (Å, degrees): 4.4786 4.4786 21.1439 90.00 90.00 120.00
Fractional positions:
Rb 0.0000 0.0000 0.0000
Rb 0.3333 0.6667 0.6667
Rb 0.6667 0.3333 0.3333
Sn 0.0000 0.0000 0.2079
Sn 0.0000 0.0000 0.7921
Sn 0.3333 0.6667 0.4587
Sn 0.3333 0.6667 0.8746
Sn 0.6667 0.3333 0.1254
Sn 0.6667 0.3333 0.5413
Rh 0.0000 0.0000 0.5000
Rh 0.3333 0.6667 0.1667
Rh 0.6667 0.3333 0.8333

Computed properties:
As for the formation energy: -0.26 eV/atom. For the theoretical density, the calculation gives 5.775 g/cm3.

***

Density functional theory data (GGA-PBE) for RbSn2Rh after structural relaxation.

Lattice parameters (Å, degrees): 7.2414 7.2414 7.2414 90.00 90.00 90.00
Fractional positions:
Rb 0.0000 0.0000 0.0000
Rb 0.0000 0.5000 0.5000
Rb 0.5000 0.0000 0.5000
Rb 0.5000 0.5000 0.0000
Sn 0.2500 0.2500 0.2500
Sn 0.2500 0.2500 0.7500
Sn 0.2500 0.7500 0.2500
Sn 0.2500 0.7500 0.7500
Sn 0.7500 0.2500 0.2500
Sn 0.7500 0.2500 0.7500
Sn 0.7500 0.7500 0.2500
Sn 0.7500 0.7500 0.7500
Rh 0.0000 0.0000 0.5000
Rh 0.0000 0.5000 0.0000
Rh 0.5000 0.0000 0.0000
Rh 0.5000 0.5000 0.5000

Computed properties:
As for the formation energy: 0.27 eV/atom. For the theoretical density, the calculation gives 7.448 g/cm3.

***

Density functional theory data (GGA-PBE) for RbSn2Rh after structural relaxation.

Lattice parameters (Å, degrees): 4.4876 4.4876 21.3224 90.00 90.00 120.00
Fractional positions:
Rb 0.0000 0.0000 0.0000
Rb 0.3333 0.6667 0.6667
Rb 0.6667 0.3333 0.3333
Sn 0.0000 0.0000 0.5445
Sn 0.0000 0.0000 0.7959
Sn 0.3333 0.6667 0.2112
Sn 0.3333 0.6667 0.4626
Sn 0.6667 0.3333 0.1293
Sn 0.6667 0.3333 0.8778
Rh 0.0000 0.0000 0.1731
Rh 0.3333 0.6667 0.8398
Rh 0.6667 0.3333 0.5064

Computed properties:
As for the formation energy: -0.25 eV/atom. For the theoretical density, the calculation gives 5.704 g/cm3.

***

Density functional theory data (GGA-PBE) for RbSn2Rh2 after structural relaxation.

Lattice parameters (Å, degrees): 4.4994 4.4994 12.4695 90.00 90.00 90.00
Fractional positions:
Rb 0.0000 0.0000 0.0000
Rb 0.5000 0.5000 0.5000
Sn 0.0000 0.0000 0.3583
Sn 0.0000 0.0000 0.6417
Sn 0.5000 0.5000 0.1417
Sn 0.5000 0.5000 0.8583
Rh 0.0000 0.5000 0.2500
Rh 0.0000 0.5000 0.7500
Rh 0.5000 0.0000 0.2500
Rh 0.5000 0.0000 0.7500

Computed properties:
The energy relative to the lowest polymorph listed for this composition is 0.0 kJ/mol of atoms. As for the formation energy: -0.29 eV/atom. For the theoretical density, the calculation gives 6.956 g/cm3.

***

Density functional theory data (GGA-PBE) for RbSn8Rh2 after structural relaxation.

Lattice parameters (Å, degrees): 6.3602 6.3602 9.5849 90.00 90.00 90.00
Fractional positions:
Rb 0.0000 0.0000 0.0000
Sn 0.2515 0.2515 0.3325
Sn 0.2515 0.2515 0.6675
Sn 0.2515 0.7485 0.3325
Sn 0.2515 0.7485 0.6675
Sn 0.7485 0.2515 0.3325
Sn 0.7485 0.2515 0.6675
Sn 0.7485 0.7485 0.3325
Sn 0.7485 0.7485 0.6675
Rh 0.0000 0.5000 0.5000
Rh 0.5000 0.0000 0.5000

Computed properties:
As for the formation energy: -0.12 eV/atom. For the theoretical density, the calculation gives 5.315 g/cm3.